Crystalline Be2HgSb at its relaxed geometry, computed with PBE.

The structure in POSCAR format:
```
Be2HgSb
1.0
3.950 0.000 0.000
0.000 4.075 0.000
-1.566 0.000 4.405
Be Hg Sb
2 1 1
direct
0.000 0.000 0.000
0.021 0.500 0.232
0.738 0.000 0.433
0.349 0.500 0.851
```

## Properties
* magnetic moment: 0.00 μB per cell
* energy above the lowest structure with this stoichiometry: 95 meV/atom
* space group: Pm